TbDyTlPb: relaxed, PBE.

abc: 5.021 5.021 8.819
angles: 90.00 90.00 90.00
Space group I-4m2 (No. 119)
Unique sites:
Tb (0.000, 0.000, 0.000)
Dy (0.000, 0.000, 0.500)
Tl (0.000, 0.500, 0.750)
Pb (0.000, 0.500, 0.250)

Output
ρ = 10.95 Mg/m³
E_tot = -4.225 eV per atom
Size of the total moment = 0.00 μB/f.u.
E above lowest polymorph = 0.000 eV/atom